Below is a geometry-optimized Pm6Pr4Nd structure, with properties calculated at the PBE level.

Structure (CIF):
```
data_Pm6Pr4Nd
_chemical_formula_sum 'Pm12 Pr8 Nd2'
_symmetry_space_group_name_H-M 'I -4 2 m'
_symmetry_Int_Tables_number 121
_symmetry_space_group_name_Hall 'I -4 2'
_cell_length_a 6.816
_cell_length_b 6.816
_cell_length_c 17.156
_cell_angle_alpha 90.00
_cell_angle_beta 90.00
_cell_angle_gamma 90.00
loop_
_atom_site_label
_atom_site_fract_x
_atom_site_fract_y
_atom_site_fract_z
Pm1 0.000 0.500 0.000
Pm2 0.175 0.175 0.378
Pr1 0.190 0.190 0.178
Nd1 0.000 0.000 0.000
```

Properties
Its density of states at the Fermi level is 32.4 states/eV/cell. The calculation puts the energy relative to the elements at 280 meV per atom. The value obtained for the energy above the most stable polymorph in this dataset is 0.131 eV per atom. As for the mass density: 6.575 g/cm3. As for the total energy: -4.482 eV per atom. For the calculated volume, the calculation gives 36.225 Å³ per atom.

---

Below is a geometry-optimized ThH6Ru3 structure, with properties calculated at the PBE level.

Structure (CIF):
```
data_ThH6Ru3
_chemical_formula_sum 'Th1 H6 Ru3'
_symmetry_space_group_name_H-M 'P 1'
_symmetry_Int_Tables_number 1
_symmetry_space_group_name_Hall 'P 1'
_cell_length_a 4.762
_cell_length_b 4.763
_cell_length_c 5.602
_cell_angle_alpha 115.07
_cell_angle_beta 90.07
_cell_angle_gamma 119.99
loop_
_atom_site_label
_atom_site_fract_x
_atom_site_fract_y
_atom_site_fract_z
Th1 0.000 0.000 0.000
H1 0.039 0.586 0.124
H2 0.228 0.783 0.607
H3 0.538 0.576 0.124
H4 0.547 0.084 0.124
H5 0.558 0.378 0.606
H6 0.823 0.048 0.605
Ru1 0.185 0.368 0.553
Ru2 0.453 0.904 0.357
Ru3 0.788 0.574 0.362
```

Properties
Its density of states at the Fermi level is 0.1 states/eV/cell. As for the mass density: 9.369 g/cm3. As for the total energy: -5.727 eV per atom. For the calculated volume, the calculation gives 9.594 Å³ per atom.

---

Below is a geometry-optimized KFe3 structure, with properties calculated at the PBE level.

Structure (CIF):
```
data_KFe3
_chemical_formula_sum 'K3 Fe9'
_symmetry_space_group_name_H-M 'R -3 m'
_symmetry_Int_Tables_number 166
_symmetry_space_group_name_Hall '-R 3 2"'
_cell_length_a 2.7813
_cell_length_b 2.7813
_cell_length_c 28.9045
_cell_angle_alpha 90.00
_cell_angle_beta 90.00
_cell_angle_gamma 120.00
loop_
_atom_site_label
_atom_site_fract_x
_atom_site_fract_y
_atom_site_fract_z
K1 0.0000 0.0000 0.0000
Fe1 0.0000 0.0000 0.2319
Fe2 0.0000 0.0000 0.5000
```

Properties
Its density of states at the Fermi level is 11.9 states/eV/cell. The calculation puts the energy relative to the elements at 833 meV per atom. As for the mass density: 5.316 g/cm3. As for the total energy: -5.789 eV per atom. For the calculated volume, the calculation gives 16.137 Å³ per atom.

---

Below is a geometry-optimized CaTiAsSe2 structure, with properties calculated at the PBE level.

Structure (CIF):
```
data_CaTiAsSe2
_chemical_formula_sum 'Ca1 Ti1 As1 Se2'
_symmetry_space_group_name_H-M 'P 4/m m m'
_symmetry_Int_Tables_number 123
_symmetry_space_group_name_Hall '-P 4 2'
_cell_length_a 5.255
_cell_length_b 5.255
_cell_length_c 5.230
_cell_angle_alpha 90.00
_cell_angle_beta 90.00
_cell_angle_gamma 90.00
loop_
_atom_site_label
_atom_site_fract_x
_atom_site_fract_y
_atom_site_fract_z
Ca1 0.000 0.000 0.000
Ti1 0.500 0.500 0.500
As1 0.000 0.000 0.500
Se1 0.000 0.500 0.000
```

Properties
Its density of states at the Fermi level is 9.9 states/eV/cell. The value obtained for the uncorrected formation energy is 0.50 eV per atom. The value obtained for the energy above the most stable polymorph in this dataset is 1.372 eV per atom. As for the mass density: 3.688 g/cm3. As for the total energy: -3.804 eV per atom. For the calculated volume, the calculation gives 28.885 Å³ per atom.

---

no.,magnetic moment (μB per cell)
1,0.000
2,0.000
3,22.772
4,0.049